Entry from Alexandria: crystalline ZrPaTiTc at its relaxed geometry (PBE).

## Properties
uncorrected energy: -9.1829 eV per atom
energy of formation from the pure elements: -107 meV/atom

POSCAR file:
```
ZrPaTiTc
1.0
4.795 0.000 0.000
2.398 4.153 0.000
2.398 1.384 3.915
Pa Tc Zr Ti
1 1 1 1
direct
0.000 0.000 0.000
0.750 0.750 0.750
0.500 0.500 0.500
0.250 0.250 0.250
```